Entry 1:
Tl2CuAu | GGA-PBE | optimized geometry Values from VASP.

Values from the calculation:
Relative energy among the computed polymorphs: 141 meV/atom
Space group: P2/m (10)

```
&SYSTEM
  ibrav = 0, nat = 4, ntyp = 3
/
ATOMIC_SPECIES
Tl 204.38 Tl.upf
Cu 63.55 Cu.upf
Au 196.97 Au.upf
ATOMIC_POSITIONS angstrom
Tl -0.1267 0.0000 1.8126
Tl 2.9914 0.0000 5.1227
Cu 1.4323 1.7862 3.4677
Au 1.7967 1.7862 0.0000
CELL_PARAMETERS angstrom
3.5933 0.0000 0.0000
0.0000 3.5725 0.0000
-0.7287 0.0000 6.9353
```

Entry 2:
TlCuAu2 | GGA-PBE | optimized geometry Values from VASP.

Values from the calculation:
Relative energy among the computed polymorphs: 139 meV/atom
Space group: I-42d (122)

```
&SYSTEM
  ibrav = 0, nat = 16, ntyp = 3
/
ATOMIC_SPECIES
Tl 204.38 Tl.upf
Cu 63.55 Cu.upf
Au 196.97 Au.upf
ATOMIC_POSITIONS angstrom
Tl 0.0000 0.0000 0.0000
Tl 0.0000 2.0067 4.9699
Tl 2.0067 0.0000 14.9097
Tl 2.0067 2.0067 9.9398
Cu 0.0000 0.0000 9.9398
Cu 0.0000 2.0067 14.9097
Cu 2.0067 0.0000 4.9699
Cu 2.0067 2.0067 0.0000
Au 0.9533 1.0034 12.4247
Au 1.0034 2.9600 17.3946
Au 1.0034 3.0602 7.4548
Au 1.0534 1.0034 2.4849
Au 2.9600 3.0101 2.4849
Au 3.0101 0.9533 7.4548
Au 3.0101 1.0534 17.3946
Au 3.0602 3.0101 12.4247
CELL_PARAMETERS angstrom
4.0134 0.0000 0.0000
0.0000 4.0134 0.0000
0.0000 0.0000 19.8796
```

Entry 3:
TlCu2Au | GGA-PBE | optimized geometry Values from VASP.

Values from the calculation:
Space group: Pm (6)

```
&SYSTEM
  ibrav = 0, nat = 4, ntyp = 3
/
ATOMIC_SPECIES
Tl 204.38 Tl.upf
Cu 63.55 Cu.upf
Au 196.97 Au.upf
ATOMIC_POSITIONS angstrom
Tl 0.0000 0.0000 0.0000
Cu 0.2172 0.0000 2.6905
Cu 0.2130 2.0860 4.1209
Au 1.8305 2.0860 1.9301
CELL_PARAMETERS angstrom
3.2365 0.0000 0.0000
0.0000 4.1719 0.0000
-1.4004 0.0000 5.1200
```

Entry 4:
Tl2Cu2Au | GGA-PBE | optimized geometry Values from VASP.

Values from the calculation:
Relative energy among the computed polymorphs: 168 meV/atom
Space group: P4/mbm (127)

```
&SYSTEM
  ibrav = 0, nat = 10, ntyp = 3
/
ATOMIC_SPECIES
Tl 204.38 Tl.upf
Cu 63.55 Cu.upf
Au 196.97 Au.upf
ATOMIC_POSITIONS angstrom
Tl 1.5484 2.5561 0.0000
Tl 2.5561 6.6606 0.0000
Tl 5.6528 1.5484 0.0000
Tl 6.6606 5.6528 0.0000
Cu 0.8761 4.9805 1.4954
Cu 3.2284 0.8761 1.4954
Cu 4.9805 7.3329 1.4954
Cu 7.3329 3.2284 1.4954
Au 0.0000 0.0000 0.0000
Au 4.1045 4.1045 0.0000
CELL_PARAMETERS angstrom
8.2090 0.0000 0.0000
0.0000 8.2090 0.0000
0.0000 0.0000 2.9908
```

Entry 5:
TlCuAu2 | GGA-PBE | optimized geometry Values from VASP.

Values from the calculation:
Relative energy among the computed polymorphs: 27 meV/atom
Space group: C2/m (12)

```
&SYSTEM
  ibrav = 0, nat = 8, ntyp = 3
/
ATOMIC_SPECIES
Tl 204.38 Tl.upf
Cu 63.55 Cu.upf
Au 196.97 Au.upf
ATOMIC_POSITIONS angstrom
Tl 0.0000 0.0000 0.0000
Tl 5.6843 1.5685 0.0000
Cu -0.9472 1.5685 2.1305
Cu 4.7371 0.0000 2.1305
Au 1.0376 0.0000 3.0259
Au 2.7524 1.5685 1.2351
Au 6.7219 1.5685 3.0259
Au 8.4367 0.0000 1.2351
CELL_PARAMETERS angstrom
11.3686 0.0000 0.0000
0.0000 3.1370 0.0000
-1.8944 0.0000 4.2611
```

Entry 6:
TlCuAu | GGA-PBE | optimized geometry Values from VASP.

Values from the calculation:
Relative energy among the computed polymorphs: 0 meV/atom
Space group: P4/nmm (129)

```
&SYSTEM
  ibrav = 0, nat = 6, ntyp = 3
/
ATOMIC_SPECIES
Tl 204.38 Tl.upf
Cu 63.55 Cu.upf
Au 196.97 Au.upf
ATOMIC_POSITIONS angstrom
Tl 1.0241 1.0241 1.1076
Tl 3.0724 3.0724 6.1605
Cu 1.0241 3.0724 3.6340
Cu 3.0724 1.0241 3.6340
Au 1.0241 1.0241 5.3103
Au 3.0724 3.0724 1.9577
CELL_PARAMETERS angstrom
4.0966 0.0000 0.0000
0.0000 4.0966 0.0000
0.0000 0.0000 7.2680
```

Entry 7:
Tl2CuAu | GGA-PBE | optimized geometry Values from VASP.

Values from the calculation:
Relative energy among the computed polymorphs: 146 meV/atom
Space group: C2/m (12)

```
&SYSTEM
  ibrav = 0, nat = 8, ntyp = 3
/
ATOMIC_SPECIES
Tl 204.38 Tl.upf
Cu 63.55 Cu.upf
Au 196.97 Au.upf
ATOMIC_POSITIONS angstrom
Tl 1.6920 1.8119 0.0000
Tl 1.6920 5.4357 0.0000
Tl 5.0760 1.8119 0.0000
Tl 5.0760 5.4357 0.0000
Cu -0.1511 0.0000 1.8301
Cu 3.2329 3.6238 1.8301
Au -0.1511 3.6238 1.8301
Au 3.2329 0.0000 1.8301
CELL_PARAMETERS angstrom
6.7680 0.0000 0.0000
0.0000 7.2476 0.0000
-0.3022 0.0000 3.6601
```

Entry 8:
TlCu2Au | GGA-PBE | optimized geometry Values from VASP.

Values from the calculation:
Space group: C2/m (12)

```
&SYSTEM
  ibrav = 0, nat = 8, ntyp = 3
/
ATOMIC_SPECIES
Tl 204.38 Tl.upf
Cu 63.55 Cu.upf
Au 196.97 Au.upf
ATOMIC_POSITIONS angstrom
Tl 0.0000 0.0000 0.0000
Tl 4.2370 1.6692 0.0000
Cu 1.0749 0.0000 3.5783
Cu 1.7277 1.6692 1.5802
Cu 5.3120 1.6692 3.5783
Cu 5.9647 0.0000 1.5802
Au -0.7172 1.6692 2.5793
Au 3.5198 0.0000 2.5793
CELL_PARAMETERS angstrom
8.4741 0.0000 0.0000
0.0000 3.3384 0.0000
-1.4344 0.0000 5.1585
```

Entry 9:
Tl2CuAu | GGA-PBE | optimized geometry Values from VASP.

Values from the calculation:
Relative energy among the computed polymorphs: 209 meV/atom
Space group: I-42d (122)

```
&SYSTEM
  ibrav = 0, nat = 16, ntyp = 3
/
ATOMIC_SPECIES
Tl 204.38 Tl.upf
Cu 63.55 Cu.upf
Au 196.97 Au.upf
ATOMIC_POSITIONS angstrom
Tl 1.0656 1.1316 2.3414
Tl 1.1316 3.3288 7.0241
Tl 1.1316 3.4608 16.3896
Tl 1.1976 1.1316 11.7068
Tl 3.3288 3.3948 11.7068
Tl 3.3948 1.0656 16.3896
Tl 3.3948 1.1976 7.0241
Tl 3.4608 3.3948 2.3414
Cu 0.0000 0.0000 0.0000
Cu 0.0000 2.2632 4.6827
Cu 2.2632 0.0000 14.0482
Cu 2.2632 2.2632 9.3655
Au 0.0000 0.0000 9.3655
Au 0.0000 2.2632 14.0482
Au 2.2632 0.0000 4.6827
Au 2.2632 2.2632 0.0000
CELL_PARAMETERS angstrom
4.5264 0.0000 0.0000
0.0000 4.5264 0.0000
0.0000 0.0000 18.7309
```

Entry 10:
Tl2CuAu | GGA-PBE | optimized geometry Values from VASP.

Values from the calculation:
Relative energy among the computed polymorphs: 126 meV/atom
Space group: R-3m (166)

```
&SYSTEM
  ibrav = 0, nat = 12, ntyp = 3
/
ATOMIC_SPECIES
Tl 204.38 Tl.upf
Cu 63.55 Cu.upf
Au 196.97 Au.upf
ATOMIC_POSITIONS angstrom
Tl 0.0000 0.0000 5.6213
Tl 0.0000 0.0000 17.3420
Tl 0.0000 2.1679 9.6875
Tl 0.0000 2.1679 20.9301
Tl 1.8774 1.0839 2.0331
Tl 1.8774 1.0839 13.2757
Cu 0.0000 0.0000 11.4816
Cu 0.0000 2.1679 3.8272
Cu 1.8774 1.0839 19.1360
Au 0.0000 0.0000 0.0000
Au 0.0000 2.1679 15.3088
Au 1.8774 1.0839 7.6544
CELL_PARAMETERS angstrom
3.7549 0.0000 0.0000
-1.8774 3.2518 0.0000
0.0000 0.0000 22.9632
```

Entry 11:
Tl3CuAu | GGA-PBE | optimized geometry Values from VASP.

Values from the calculation:
Relative energy among the computed polymorphs: 0 meV/atom
Space group: Pm-3m (221)

```
&SYSTEM
  ibrav = 0, nat = 5, ntyp = 3
/
ATOMIC_SPECIES
Tl 204.38 Tl.upf
Cu 63.55 Cu.upf
Au 196.97 Au.upf
ATOMIC_POSITIONS angstrom
Tl 0.0000 0.0000 2.6114
Tl 0.0000 2.6114 0.0000
Tl 2.6114 0.0000 0.0000
Cu 0.0000 0.0000 0.0000
Au 2.6114 2.6114 2.6114
CELL_PARAMETERS angstrom
5.2229 0.0000 0.0000
0.0000 5.2229 0.0000
0.0000 0.0000 5.2229
```

Entry 12:
TlCuAu3 | GGA-PBE | optimized geometry Values from VASP.

Values from the calculation:
Relative energy among the computed polymorphs: 0 meV/atom
Space group: Pm-3m (221)

```
&SYSTEM
  ibrav = 0, nat = 5, ntyp = 3
/
ATOMIC_SPECIES
Tl 204.38 Tl.upf
Cu 63.55 Cu.upf
Au 196.97 Au.upf
ATOMIC_POSITIONS angstrom
Tl 0.0000 0.0000 0.0000
Cu 2.4571 2.4571 2.4571
Au 0.0000 2.4571 2.4571
Au 2.4571 0.0000 2.4571
Au 2.4571 2.4571 0.0000
CELL_PARAMETERS angstrom
4.9141 0.0000 0.0000
0.0000 4.9141 0.0000
0.0000 0.0000 4.9141
```

| no. | formation enthalpy at 0 K (eV/atom) | total DFT energy (no corrections) (eV per atom) | Fermi-level density of states (states/eV per cell) |
| --- | --- | --- | --- |
| 1 | 0.224 | -2.80 | 1.9 |
| 2 | 0.198 | -3.06 | 11.8 |
| 3 | 0.166 | -3.29 | 1.2 |
| 4 | 0.336 | -2.90 | 4.8 |
| 5 | 0.086 | -3.17 | 1.8 |
| 6 | 0.059 | -3.19 | 1.7 |
| 7 | 0.228 | -2.80 | 2.4 |
| 8 | 0.206 | -3.25 | 2.7 |
| 9 | 0.291 | -2.74 | 7.2 |
| 10 | 0.208 | -2.82 | 2.9 |
| 11 | 0.262 | -2.63 | 2.7 |
| 12 | 0.308 | -2.95 | 1.6 |